1.
First-principles (PBE) data for La11Cd4In9 after structural relaxation, as listed in Alexandria.

Unit cell a=14.0584 b=14.0584 c=3.9733 alpha=90.00 beta=90.00 gamma=113.04
Element x y z (fractional)
La 0.0000 0.0000 0.0000
La 0.0523 0.4111 0.0000
La 0.1624 0.8376 0.0000
La 0.2842 0.2842 0.0000
La 0.3644 0.6356 0.0000
La 0.4111 0.0523 0.0000
La 0.5889 0.9477 0.0000
La 0.6356 0.3644 0.0000
La 0.7158 0.7158 0.0000
La 0.8376 0.1624 0.0000
La 0.9477 0.5889 0.0000
Cd 0.2467 0.4460 0.5000
Cd 0.4460 0.2467 0.5000
Cd 0.5540 0.7533 0.5000
Cd 0.7533 0.5540 0.5000
In 0.0623 0.2158 0.5000
In 0.1624 0.6311 0.5000
In 0.2158 0.0623 0.5000
In 0.3689 0.8376 0.5000
In 0.5000 0.5000 0.5000
In 0.6311 0.1624 0.5000
In 0.7842 0.9377 0.5000
In 0.8376 0.3689 0.5000
In 0.9377 0.7842 0.5000

- mass density (g/cm³) = 6.919
- symmetry = Cmmm, No. 65



2.
First-principles (PBE) data for La6CdIn5 after structural relaxation, as listed in Alexandria.

Unit cell a=9.7020 b=9.7020 c=9.7020 alpha=146.46 beta=132.00 gamma=59.82
Element x y z (fractional)
La 0.0832 0.3329 0.7503
La 0.2504 0.0000 0.2504
La 0.4173 0.6671 0.7503
La 0.5827 0.3329 0.2497
La 0.7496 0.0000 0.7496
La 0.9168 0.6671 0.2497
Cd 0.5000 0.5000 0.0000
In 0.0000 0.5000 0.5000
In 0.1660 0.1660 0.0000
In 0.3358 0.8358 0.5000
In 0.6642 0.1642 0.5000
In 0.8340 0.8340 0.0000

- mass density (g/cm³) = 6.792
- symmetry = Immm, No. 71



3.
First-principles (PBE) data for La6Cd2In after structural relaxation, as listed in Alexandria.

Unit cell a=9.2367 b=9.2367 c=9.2367 alpha=110.94 beta=109.40 gamma=108.09
Element x y z (fractional)
La 0.0549 0.8204 0.2345
La 0.2518 0.5543 0.3025
La 0.2518 0.9492 0.6975
La 0.2695 0.3144 0.5838
La 0.2695 0.6856 0.9551
La 0.4140 0.1796 0.2345
La 0.5860 0.8204 0.7655
La 0.7305 0.3144 0.0449
La 0.7305 0.6856 0.4162
La 0.7482 0.0508 0.3025
La 0.7482 0.4457 0.6975
La 0.9451 0.1796 0.7655
Cd 0.0000 0.1382 0.1382
Cd 0.0000 0.8618 0.8618
Cd 0.3671 0.3671 0.0000
Cd 0.6329 0.6329 0.0000
In 0.0000 0.5000 0.5000
In 0.5000 0.0000 0.5000

- mass density (g/cm³) = 6.426
- symmetry = Immm, No. 71



4.
First-principles (PBE) data for La3Cd2In4 after structural relaxation, as listed in Alexandria.

Unit cell a=6.3829 b=6.3829 c=9.5273 alpha=110.93 beta=110.93 gamma=45.98
Element x y z (fractional)
La 0.0000 0.0000 0.0000
La 0.3293 0.3293 0.3339
La 0.6707 0.6707 0.6661
Cd 0.4002 0.4002 0.7305
Cd 0.5998 0.5998 0.2695
In 0.0739 0.0739 0.4091
In 0.3036 0.3036 0.9701
In 0.6964 0.6964 0.0299
In 0.9261 0.9261 0.5909

- mass density (g/cm³) = 7.106
- symmetry = C2/m, No. 12



5.
First-principles (PBE) data for La2Cd4In after structural relaxation, as listed in Alexandria.

Unit cell a=6.5201 b=6.3877 c=9.4522 alpha=90.00 beta=104.23 gamma=90.00
Element x y z (fractional)
La 0.1209 0.2500 0.4064
La 0.2740 0.7500 0.0100
La 0.7260 0.2500 0.9900
La 0.8791 0.7500 0.5936
Cd 0.2477 0.2500 0.0991
Cd 0.3191 0.7500 0.4171
Cd 0.4054 0.5215 0.7023
Cd 0.4054 0.9785 0.7023
Cd 0.5946 0.0215 0.2977
Cd 0.5946 0.4785 0.2977
Cd 0.6809 0.2500 0.5829
Cd 0.7523 0.7500 0.9009
In 0.0958 0.2500 0.7852
In 0.9042 0.7500 0.2148

- mass density (g/cm³) = 7.331
- symmetry = P2_1/m, No. 11



6.
First-principles (PBE) data for La7Cd2In2 after structural relaxation, as listed in Alexandria.

Unit cell a=7.2058 b=7.2058 c=7.8511 alpha=90.00 beta=90.00 gamma=108.42
Element x y z (fractional)
La 0.0000 0.0000 0.0000
La 0.0000 0.5000 0.3026
La 0.0000 0.5000 0.6974
La 0.5000 0.0000 0.3026
La 0.5000 0.0000 0.6974
La 0.5000 0.5000 0.2730
La 0.5000 0.5000 0.7270
Cd 0.2867 0.7133 0.0000
Cd 0.7133 0.2867 0.0000
In 0.1654 0.1654 0.5000
In 0.8346 0.8346 0.5000

- mass density (g/cm³) = 6.126
- symmetry = Cmmm, No. 65



7.
First-principles (PBE) data for LaCdIn3 after structural relaxation, as listed in Alexandria.

Unit cell a=5.4193 b=5.4193 c=5.4193 alpha=90.00 beta=90.00 gamma=90.00
Element x y z (fractional)
La 0.0000 0.0000 0.0000
Cd 0.5000 0.5000 0.5000
In 0.0000 0.5000 0.5000
In 0.5000 0.0000 0.5000
In 0.5000 0.5000 0.0000

- mass density (g/cm³) = 6.216
- symmetry = Pm-3m, No. 221



8.
First-principles (PBE) data for La6CdIn2 after structural relaxation, as listed in Alexandria.

Unit cell a=9.6431 b=9.6431 c=3.3197 alpha=90.00 beta=90.00 gamma=120.00
Element x y z (fractional)
La 0.0000 0.3351 0.0000
La 0.0000 0.6649 0.0000
La 0.3351 0.0000 0.0000
La 0.3351 0.3351 0.0000
La 0.6649 0.0000 0.0000
La 0.6649 0.6649 0.0000
Cd 0.0000 0.0000 0.5000
In 0.3333 0.6667 0.5000
In 0.6667 0.3333 0.5000

- mass density (g/cm³) = 7.301
- symmetry = P6/mmm, No. 191



9.
First-principles (PBE) data for LaCdIn3 after structural relaxation, as listed in Alexandria.

Unit cell a=6.1762 b=6.1762 c=6.1762 alpha=90.00 beta=90.00 gamma=90.00
Element x y z (fractional)
La 0.0000 0.0000 0.0000
Cd 0.5000 0.5000 0.5000
In 0.0000 0.0000 0.5000
In 0.0000 0.5000 0.0000
In 0.5000 0.0000 0.0000

- mass density (g/cm³) = 4.199
- symmetry = Pm-3m, No. 221



10.
First-principles (PBE) data for LaCd3In3 after structural relaxation, as listed in Alexandria.

Unit cell a=7.7974 b=7.7974 c=7.7974 alpha=90.00 beta=90.00 gamma=90.00
Element x y z (fractional)
La 0.0000 0.0000 0.0000
La 0.5000 0.5000 0.5000
Cd 0.0000 0.2500 0.5000
Cd 0.0000 0.7500 0.5000
Cd 0.2500 0.5000 0.0000
Cd 0.5000 0.0000 0.2500
Cd 0.5000 0.0000 0.7500
Cd 0.7500 0.5000 0.0000
In 0.0000 0.5000 0.2500
In 0.0000 0.5000 0.7500
In 0.2500 0.0000 0.5000
In 0.5000 0.2500 0.0000
In 0.5000 0.7500 0.0000
In 0.7500 0.0000 0.5000

- mass density (g/cm³) = 5.749
- symmetry = Pm-3n, No. 223



11.
First-principles (PBE) data for La2Cd3In2 after structural relaxation, as listed in Alexandria.

Unit cell a=6.4703 b=6.4703 c=6.9795 alpha=102.90 beta=102.90 gamma=43.87
Element x y z (fractional)
La 0.1151 0.1151 0.3401
La 0.8849 0.8849 0.6599
Cd 0.2302 0.2302 0.8547
Cd 0.5000 0.5000 0.0000
Cd 0.7698 0.7698 0.1453
In 0.3930 0.3930 0.3229
In 0.6070 0.6070 0.6771

- mass density (g/cm³) = 7.137
- symmetry = C2/m, No. 12



12.
First-principles (PBE) data for LaCdIn6 after structural relaxation, as listed in Alexandria.

Unit cell a=6.9882 b=6.9882 c=4.4134 alpha=90.00 beta=90.00 gamma=90.00
Element x y z (fractional)
La 0.0000 0.0000 0.0000
Cd 0.5000 0.5000 0.0000
In 0.0000 0.5000 0.0000
In 0.2648 0.2648 0.5000
In 0.2648 0.7352 0.5000
In 0.5000 0.0000 0.0000
In 0.7352 0.2648 0.5000
In 0.7352 0.7352 0.5000

- mass density (g/cm³) = 7.244
- symmetry = P4/mmm, No. 123



13.
First-principles (PBE) data for LaCdIn2 after structural relaxation, as listed in Alexandria.

Unit cell a=10.8256 b=10.8256 c=10.8256 alpha=18.39 beta=18.39 gamma=18.39
Element x y z (fractional)
La 0.0000 0.0000 0.0000
Cd 0.5000 0.5000 0.5000
In 0.2435 0.2435 0.2435
In 0.7565 0.7565 0.7565

- mass density (g/cm³) = 7.244
- symmetry = R-3m, No. 166



14.
First-principles (PBE) data for La4Cd3In2 after structural relaxation, as listed in Alexandria.

Unit cell a=5.4097 b=5.4097 c=10.5479 alpha=90.00 beta=90.00 gamma=120.00
Element x y z (fractional)
La 0.0000 0.0000 0.1557
La 0.0000 0.0000 0.8443
La 0.3333 0.6667 0.3817
La 0.6667 0.3333 0.6183
Cd 0.0000 0.0000 0.5000
Cd 0.3333 0.6667 0.0047
Cd 0.6667 0.3333 0.9953
In 0.3333 0.6667 0.7104
In 0.6667 0.3333 0.2896

- mass density (g/cm³) = 6.972
- symmetry = P-3m1, No. 164



15.
First-principles (PBE) data for La3CdIn2 after structural relaxation, as listed in Alexandria.

Unit cell a=5.5896 b=5.5896 c=13.7128 alpha=90.00 beta=90.00 gamma=120.00
Element x y z (fractional)
La 0.0000 0.0000 0.2501
La 0.0000 0.0000 0.7499
La 0.3333 0.6667 0.4168
La 0.3333 0.6667 0.9171
La 0.6667 0.3333 0.0829
La 0.6667 0.3333 0.5832
Cd 0.3333 0.6667 0.1677
Cd 0.6667 0.3333 0.8323
In 0.0000 0.0000 0.0000
In 0.0000 0.0000 0.5000
In 0.3333 0.6667 0.6700
In 0.6667 0.3333 0.3300

- mass density (g/cm³) = 6.792
- symmetry = P-3m1, No. 164



16.
First-principles (PBE) data for La2Cd16In after structural relaxation, as listed in Alexandria.

Unit cell a=7.7224 b=7.7224 c=7.7224 alpha=82.93 beta=82.93 gamma=82.93
Element x y z (fractional)
La 0.0000 0.0000 0.0000
La 0.3358 0.3358 0.3358
Cd 0.0234 0.0234 0.5114
Cd 0.0234 0.5114 0.0234
Cd 0.1797 0.6610 0.6610
Cd 0.3091 0.3091 0.8410
Cd 0.3091 0.8410 0.3091
Cd 0.3655 0.6692 0.9711
Cd 0.3655 0.9711 0.6692
Cd 0.5114 0.0234 0.0234
Cd 0.5706 0.5706 0.5706
Cd 0.6610 0.1797 0.6610
Cd 0.6610 0.6610 0.1797
Cd 0.6692 0.3655 0.9711
Cd 0.6692 0.9711 0.3655
Cd 0.8410 0.3091 0.3091
Cd 0.9711 0.3655 0.6692
Cd 0.9711 0.6692 0.3655
In 0.7709 0.7709 0.7709

- mass density (g/cm³) = 8.071
- symmetry = R3m, No. 160



17.
First-principles (PBE) data for LaCd4In4 after structural relaxation, as listed in Alexandria.

Unit cell a=6.6077 b=6.6077 c=10.9409 alpha=90.00 beta=90.00 gamma=90.00
Element x y z (fractional)
La 0.2500 0.7500 0.2500
La 0.7500 0.2500 0.7500
Cd 0.0367 0.2500 0.1929
Cd 0.2500 0.0367 0.6929
Cd 0.2500 0.4633 0.6929
Cd 0.4633 0.2500 0.1929
Cd 0.5367 0.7500 0.8071
Cd 0.7500 0.5367 0.3071
Cd 0.7500 0.9633 0.3071
Cd 0.9633 0.7500 0.8071
In 0.0117 0.2500 0.4725
In 0.2500 0.0117 0.9725
In 0.2500 0.4883 0.9725
In 0.4883 0.2500 0.4725
In 0.5117 0.7500 0.5275
In 0.7500 0.5117 0.0275
In 0.7500 0.9883 0.0275
In 0.9883 0.7500 0.5275

- mass density (g/cm³) = 7.285
- symmetry = P4_2/nmc, No. 137



18.
First-principles (PBE) data for La2Cd5In after structural relaxation, as listed in Alexandria.

Unit cell a=9.2796 b=9.2796 c=9.9696 alpha=90.00 beta=90.00 gamma=149.76
Element x y z (fractional)
La 0.0000 0.0000 0.0000
La 0.0000 0.0000 0.5000
La 0.2003 0.7997 0.7500
La 0.7997 0.2003 0.2500
Cd 0.1896 0.8104 0.1055
Cd 0.1896 0.8104 0.3945
Cd 0.3520 0.6480 0.0272
Cd 0.3520 0.6480 0.4728
Cd 0.3963 0.6037 0.7500
Cd 0.6037 0.3963 0.2500
Cd 0.6480 0.3520 0.5272
Cd 0.6480 0.3520 0.9728
Cd 0.8104 0.1896 0.6055
Cd 0.8104 0.1896 0.8945
In 0.4484 0.5516 0.2500
In 0.5516 0.4484 0.7500

- mass density (g/cm³) = 7.333
- symmetry = Cmcm, No. 63



19.
First-principles (PBE) data for La14CdIn after structural relaxation, as listed in Alexandria.

Unit cell a=7.2510 b=7.2510 c=10.5092 alpha=90.00 beta=90.00 gamma=90.00
Element x y z (fractional)
La 0.0000 0.0000 0.0000
La 0.0000 0.5000 0.0000
La 0.0000 0.5000 0.5000
La 0.2489 0.2489 0.2566
La 0.2489 0.2489 0.7434
La 0.2489 0.7511 0.2566
La 0.2489 0.7511 0.7434
La 0.5000 0.0000 0.0000
La 0.5000 0.0000 0.5000
La 0.5000 0.5000 0.0000
La 0.7511 0.2489 0.2566
La 0.7511 0.2489 0.7434
La 0.7511 0.7511 0.2566
La 0.7511 0.7511 0.7434
Cd 0.5000 0.5000 0.5000
In 0.0000 0.0000 0.5000

- mass density (g/cm³) = 6.527
- symmetry = P4/mmm, No. 123



20.
First-principles (PBE) data for La8CdIn2 after structural relaxation, as listed in Alexandria.

Unit cell a=9.8521 b=9.8521 c=7.5703 alpha=112.58 beta=112.58 gamma=32.55
Element x y z (fractional)
La 0.0001 0.0001 0.2085
La 0.9999 0.9999 0.7915
La 0.1939 0.1939 0.6931
La 0.3578 0.3578 0.0888
La 0.3578 0.3578 0.6269
La 0.6422 0.6422 0.3731
La 0.6422 0.6422 0.9112
La 0.8061 0.8061 0.3069
Cd 0.5000 0.5000 0.5000
In 0.1871 0.1871 0.1870
In 0.8129 0.8129 0.8130

- mass density (g/cm³) = 6.659
- symmetry = C2/m, No. 12



21.
First-principles (PBE) data for La3Cd2In after structural relaxation, as listed in Alexandria.

Unit cell a=3.9106 b=3.9106 c=12.0230 alpha=90.00 beta=90.00 gamma=90.00
Element x y z (fractional)
La 0.0000 0.0000 0.0000
La 0.0000 0.0000 0.3328
La 0.0000 0.0000 0.6672
Cd 0.5000 0.5000 0.1639
Cd 0.5000 0.5000 0.8361
In 0.5000 0.5000 0.5000

- mass density (g/cm³) = 6.831
- symmetry = P4/mmm, No. 123



| no. | DOS(E_F) (states/eV/f.u.) | spin magnetization (μB per cell) | DFT formation energy (meV per atom) |
| --- | --- | --- | --- |
| 1 | 20.15 | 0.0 | -434 |
| 2 | 12.16 | 0.0 | -487 |
| 3 | 13.28 | 0.0 | -203 |
| 4 | 5.23 | 0.0 | -482 |
| 5 | 6.03 | 0.0 | -329 |
| 6 | 15.67 | 0.0 | -76 |
| 7 | 3.49 | 0.0 | 131 |
| 8 | 13.41 | 0.0 | -180 |
| 9 | 12.20 | 0.0 | 701 |
| 10 | 5.92 | 0.4 | 277 |
| 11 | 6.02 | 0.0 | -329 |
| 12 | 5.49 | 0.0 | -170 |
| 13 | 3.58 | 0.5 | -120 |
| 14 | 10.08 | 0.0 | -350 |
| 15 | 7.78 | 0.0 | -457 |
| 16 | 5.82 | 0.0 | -186 |
| 17 | 4.99 | 0.0 | -100 |
| 18 | 7.13 | 0.0 | -331 |
| 19 | 25.04 | 0.0 | -93 |
| 20 | 14.13 | 0.0 | -206 |
| 21 | 8.14 | 0.4 | -389 |